# GGA+U CaV2Hg2O7, optimized geometry
data_CaV2Hg2O7
_chemical_formula_sum 'Ca3 V6 Hg6 O21'
_cell_length_a 5.4889
_cell_length_b 5.4889
_cell_length_c 23.0890
_cell_angle_alpha 90.00
_cell_angle_beta 90.00
_cell_angle_gamma 120.00
_space_group_name_H-M_alt 'R 3 2'
_space_group_IT_number 155
_space_group_name_Hall 'R 3 2"'
loop_
_atom_site_label
_atom_site_fract_x
_atom_site_fract_y
_atom_site_fract_z
Ca1 0.0000 0.0000 0.0000
V1 0.0000 0.0000 0.4211
Hg1 0.0000 0.0000 0.2022
O1 0.0000 0.0000 0.5000
O2 0.0164 0.3058 0.6021
# **VASP energy**: -214.5 eV per cell
# **Magnetic moment**: 0.0 μB per cell